Entry from Alexandria via LeMat-Bulk: an optimized crystal structure of FeCu2F (GGA+U).

```
FeCu2F
1.0
-1.881 -2.640 -2.604
-4.147 -0.295 -0.024
-2.169 1.460 -3.232
Fe Cu F
1 2 1
Cartesian
-4.099 -0.737 -2.930
-2.049 -0.369 -1.465
-6.148 -1.106 -4.395
0.000 0.000 0.000
```

Output
Its energy above the lowest structure with this stoichiometry is 0.379 eV/atom. The space group is No. 225.